(1)
# AcSnBiPt, optimized geometry, DFT PBE
# Formation energy from the elements in eV/atom: -0.4153
# VASP energy in eV/atom: -4.9235
data_AcSnBiPt
_symmetry_space_group_name_H-M 'P 1'
_symmetry_Int_Tables_number 1
_cell_length_a 5.399
_cell_length_b 5.399
_cell_length_c 5.399
_cell_angle_alpha 60.00
_cell_angle_beta 60.00
_cell_angle_gamma 60.00
loop_
_symmetry_equiv_pos_as_xyz
'x,y,z'
loop_
_atom_site_label
_atom_site_type_symbol
_atom_site_fract_x
_atom_site_fract_y
_atom_site_fract_z
_atom_site_occupancy
Ac1 Ac 0.000 0.000 0.000 1
Sn1 Sn 0.750 0.750 0.750 1
Bi1 Bi 0.500 0.500 0.500 1
Pt1 Pt 0.250 0.250 0.250 1

***

(2)
# Er3SiIr2, optimized geometry, DFT PBE
# VASP energy in eV/atom: -7.0017
# Energy relative to the elements, uncorrected in eV/f.u.: -5.177
data_Er3SiIr2
_symmetry_space_group_name_H-M 'P 1'
_symmetry_Int_Tables_number 1
_cell_length_a 11.362
_cell_length_b 3.915
_cell_length_c 11.818
_cell_angle_alpha 90.00
_cell_angle_beta 90.00
_cell_angle_gamma 90.00
loop_
_symmetry_equiv_pos_as_xyz
'x,y,z'
loop_
_atom_site_label
_atom_site_type_symbol
_atom_site_fract_x
_atom_site_fract_y
_atom_site_fract_z
_atom_site_occupancy
Er1 Er 0.056 0.250 0.117 1
Er2 Er 0.128 0.750 0.557 1
Er3 Er 0.197 0.250 0.808 1
Er4 Er 0.303 0.750 0.308 1
Er5 Er 0.372 0.250 0.057 1
Er6 Er 0.444 0.750 0.617 1
Er7 Er 0.556 0.250 0.383 1
Er8 Er 0.628 0.750 0.943 1
Er9 Er 0.697 0.250 0.692 1
Er10 Er 0.803 0.750 0.192 1
Er11 Er 0.872 0.250 0.443 1
Er12 Er 0.944 0.750 0.883 1
Si1 Si 0.125 0.250 0.362 1
Si2 Si 0.375 0.750 0.862 1
Si3 Si 0.625 0.250 0.138 1
Si4 Si 0.875 0.750 0.638 1
Ir1 Ir 0.020 0.750 0.313 1
Ir2 Ir 0.194 0.750 0.981 1
Ir3 Ir 0.306 0.250 0.481 1
Ir4 Ir 0.480 0.250 0.813 1
Ir5 Ir 0.520 0.750 0.187 1
Ir6 Ir 0.694 0.750 0.519 1
Ir7 Ir 0.806 0.250 0.019 1
Ir8 Ir 0.980 0.250 0.687 1